1.
! Ac6GaIr2Br3, optimized geometry, DFT PBE; values from VASP
! Crystal system ... monoclinic
! Density ... 8.1 g/cm3
! Uncorrected formation energy ... -1.09 eV/atom
! Space group ... C2/m
! DOS at the Fermi energy ... 3.7 states/eV/cell
&SYSTEM
  ibrav = 0, nat = 12, ntyp = 4
/
ATOMIC_SPECIES
Ir 192.22 Ir.upf
Ac 227.00 Ac.upf
Br 79.90 Br.upf
Ga 69.72 Ga.upf
ATOMIC_POSITIONS crystal
Ir 0.832 0.661 0.664
Ir 0.168 0.339 0.336
Ac 0.661 0.125 0.321
Ac 0.018 0.244 0.037
Ac 0.982 0.756 0.963
Ac 0.681 0.555 0.362
Ac 0.339 0.875 0.679
Ac 0.319 0.445 0.638
Br 0.162 0.843 0.325
Br 0.838 0.157 0.675
Br 0.500 0.500 0.000
Ga 0.500 0.000 0.000
CELL_PARAMETERS angstrom
4.408 0.000 0.000
0.000 9.733 -0.136
-2.204 -3.302 9.878

=====

2.
! U3PSe3, optimized geometry, DFT PBE; values from VASP
! Distance to the lowest polymorph of the same formula ... 267 meV per atom
! Crystal system ... monoclinic
! Density ... 9.3 g/cm3
! Uncorrected formation energy ... -0.76 eV/atom
! Space group ... C2/m
! DOS at the Fermi energy ... 28.9 states/eV/cell
&SYSTEM
  ibrav = 0, nat = 14, ntyp = 3
/
ATOMIC_SPECIES
Se 78.96 Se.upf
P 30.97 P.upf
U 238.03 U.upf
ATOMIC_POSITIONS crystal
Se 0.771 0.229 0.000
Se 0.365 0.365 0.648
Se 0.635 0.635 0.352
Se 0.147 0.853 0.500
Se 0.853 0.147 0.500
Se 0.229 0.771 0.000
P 0.723 0.723 0.908
P 0.277 0.277 0.092
U 0.498 0.816 0.672
U 0.184 0.502 0.328
U 0.053 0.053 0.838
U 0.502 0.184 0.328
U 0.816 0.498 0.672
U 0.947 0.947 0.162
CELL_PARAMETERS angstrom
-6.391 -2.246 -2.493
0.884 -2.020 6.873
-3.319 5.891 2.437

=====

3.
! SrMgIn2, optimized geometry, DFT PBE; values from VASP
! Formation enthalpy at 0 K ... -0.3207 eV/atom
! Crystal system ... orthorhombic
! Density ... 4.9 g/cm3
! Space group ... Cmcm
! DOS at the Fermi energy ... 3.7 states/eV/cell
&SYSTEM
  ibrav = 0, nat = 8, ntyp = 3
/
ATOMIC_SPECIES
Sr 87.62 Sr.upf
In 114.82 In.upf
Mg 24.30 Mg.upf
ATOMIC_POSITIONS crystal
Sr 0.087 0.174 0.750
Sr 0.913 0.826 0.250
In 0.376 0.752 0.552
In 0.624 0.248 0.052
In 0.624 0.248 0.448
In 0.376 0.752 0.948
Mg 0.794 0.587 0.750
Mg 0.206 0.413 0.250
CELL_PARAMETERS angstrom
-4.769 -1.199 1.197
4.385 -2.950 3.814
-0.259 5.836 4.811

=====

4.
! Er2BeNiPt6, optimized geometry, DFT PBE; values from VASP
! Formation enthalpy at 0 K ... -0.7297 eV/atom
! Crystal system ... monoclinic
! Density ... 14.3 g/cm3
! Space group ... C2/m
! DOS at the Fermi energy ... 6.9 states/eV/cell
&SYSTEM
  ibrav = 0, nat = 10, ntyp = 4
/
ATOMIC_SPECIES
Pt 195.08 Pt.upf
Er 167.26 Er.upf
Be 9.01 Be.upf
Ni 58.69 Ni.upf
ATOMIC_POSITIONS crystal
Pt 0.742 0.723 0.515
Pt 0.742 0.723 0.019
Pt 0.258 0.277 0.485
Pt 0.258 0.277 0.981
Pt 0.762 0.277 0.981
Pt 0.238 0.723 0.019
Er 0.703 0.108 0.595
Er 0.297 0.892 0.405
Be 0.500 0.500 0.000
Ni 0.000 0.000 0.000
CELL_PARAMETERS angstrom
5.512 0.023 -0.009
-0.033 7.516 -1.460
2.755 2.779 3.875

=====

5.
! Sc3TlH, optimized geometry, DFT PBE; values from VASP
! Distance to the lowest polymorph of the same formula ... 699 meV per atom
! Crystal system ... orthorhombic
! Density ... 4.0 g/cm3
! Space group ... Amm2
! DOS at the Fermi energy ... 4.5 states/eV/cell
&SYSTEM
  ibrav = 0, nat = 5, ntyp = 3
/
ATOMIC_SPECIES
Sc 44.96 Sc.upf
Tl 204.38 Tl.upf
H 1.01 H.upf
ATOMIC_POSITIONS crystal
Sc 0.000 0.271 0.729
Sc 0.500 0.673 0.823
Sc 0.500 0.177 0.327
Tl 0.500 0.097 0.903
H 0.000 0.410 0.590
CELL_PARAMETERS angstrom
-1.162 2.699 -1.232
3.529 -1.746 -7.153
-7.107 -1.328 3.794

=====

6.
! Li4CuPt, optimized geometry, DFT PBE; values from VASP
! Distance to the lowest polymorph of the same formula ... 0 meV per atom
! Formation enthalpy at 0 K ... -0.3099 eV/atom
! Crystal system ... monoclinic
! Density ... 5.8 g/cm3
! Space group ... C2/m
! DOS at the Fermi energy ... 2.8 states/eV/cell
&SYSTEM
  ibrav = 0, nat = 6, ntyp = 3
/
ATOMIC_SPECIES
Li 6.94 Li.upf
Pt 195.08 Pt.upf
Cu 63.55 Cu.upf
ATOMIC_POSITIONS crystal
Li 0.794 0.794 0.542
Li 0.303 0.303 0.029
Li 0.697 0.697 0.971
Li 0.206 0.206 0.458
Pt 0.000 0.000 0.000
Cu 0.500 0.500 0.500
CELL_PARAMETERS angstrom
-4.401 -0.835 2.381
-3.598 -3.488 -0.792
-3.441 -5.527 3.749

=====

7.
! Hg5Ru, optimized geometry, DFT PBE; values from VASP
! Distance to the lowest polymorph of the same formula ... 434 meV per atom
! Formation enthalpy at 0 K ... 0.7756 eV/atom
! Crystal system ... hexagonal
! Density ... 12.1 g/cm3
! Space group ... P6/mmm
! DOS at the Fermi energy ... 6.8 states/eV/cell
&SYSTEM
  ibrav = 0, nat = 6, ntyp = 2
/
ATOMIC_SPECIES
Hg 200.59 Hg.upf
Ru 101.07 Ru.upf
ATOMIC_POSITIONS crystal
Hg 0.667 0.333 0.000
Hg 0.500 0.000 0.500
Hg 0.500 0.500 0.500
Hg 0.333 0.667 0.000
Hg 0.000 0.500 0.500
Ru 0.000 0.000 0.000
CELL_PARAMETERS angstrom
0.462 4.015 -3.716
-1.746 -4.973 -1.535
-5.496 1.605 1.051

=====

8.
! CdBr2Cl, optimized geometry, DFT PBE; values from VASP
! Distance to the lowest polymorph of the same formula ... 452 meV per atom
! Crystal system ... tetragonal
! Density ... 4.5 g/cm3
! Uncorrected formation energy ... -0.11 eV/atom
! Space group ... P4/mmm
! DOS at the Fermi energy ... 5.0 states/eV/cell
&SYSTEM
  ibrav = 0, nat = 4, ntyp = 3
/
ATOMIC_SPECIES
Cl 35.45 Cl.upf
Br 79.90 Br.upf
Cd 112.41 Cd.upf
ATOMIC_POSITIONS crystal
Cl 0.500 0.500 0.750
Br 0.000 0.000 0.433
Br 0.000 0.000 0.067
Cd 0.500 0.500 0.250
CELL_PARAMETERS angstrom
-3.026 -0.888 -1.502
-1.454 -0.380 3.154
-2.574 8.953 -0.107

=====

9.
! GdTmMgCd, optimized geometry, DFT PBE; values from VASP
! Formation enthalpy at 0 K ... -0.2026 eV/atom
! Crystal system ... cubic
! Density ... 7.3 g/cm3
! Space group ... F-43m
! DOS at the Fermi energy ... 3.1 states/eV/cell
&SYSTEM
  ibrav = 0, nat = 4, ntyp = 4
/
ATOMIC_SPECIES
Gd 157.25 Gd.upf
Mg 24.30 Mg.upf
Cd 112.41 Cd.upf
Tm 168.93 Tm.upf
ATOMIC_POSITIONS crystal
Gd 0.500 0.500 0.500
Mg 0.250 0.250 0.250
Cd 0.750 0.750 0.750
Tm 0.000 0.000 0.000
CELL_PARAMETERS angstrom
5.312 0.000 0.000
2.656 4.601 0.000
2.656 1.534 4.338